DFT (PBE+U) results for an optimized crystal structure of MnNbO.

Properties
Magnetic moment: 0.7 μB/cell
V: 13.59 Å³ per atom
Uncorrected energy: -8.38 eV/atom

Cell and atoms, written as CIF:
```
data_MnNbO
_chemical_formula_sum 'Mn2 Nb2 O2'
_cell_length_a 2.9483
_cell_length_b 2.9483
_cell_length_c 10.8345
_cell_angle_alpha 90.00
_cell_angle_beta 90.00
_cell_angle_gamma 120.00
_symmetry_space_group_name_H-M 'P -6 m 2'
_symmetry_Int_Tables_number 187
_symmetry_space_group_name_Hall 'P -6 2'
loop_
_atom_site_label
_atom_site_type_symbol
_atom_site_fract_x
_atom_site_fract_y
_atom_site_fract_z
Mn1 Mn 0.0000 0.0000 0.0000
Mn2 Mn 0.3333 0.6667 0.5000
Nb1 Nb 0.3333 0.6667 0.2241
O1 O 0.0000 0.0000 0.3611
```